Entry 1:
# Pm5Pb2Se2 | the Alexandria database | PBE | optimized geometry
# * ρ: 8.23 g/cm3
# * E: -5.22 eV/atom
# * total moment: 0.00 μB/cell
# * energy relative to the elements, uncorrected: -94.8 kJ per mole of atoms
# * relative energy among the computed polymorphs: 0.16 eV/f.u.
# * V: 29.08 A^3/atom
data_Pm5Pb2Se2
_chemical_formula_sum 'Pm20 Pb8 Se8'
_symmetry_space_group_name_H-M 'C m c e'
_symmetry_Int_Tables_number 64
_symmetry_space_group_name_Hall '-C 2ac 2'
_cell_length_a 15.409
_cell_length_b 8.198
_cell_length_c 8.287
_cell_angle_alpha 90.00
_cell_angle_beta 90.00
_cell_angle_gamma 90.00
loop_
_atom_site_label
_atom_site_fract_x
_atom_site_fract_y
_atom_site_fract_z
Pm1 0.000 0.000 0.000
Pm2 0.127 0.161 0.339
Pb1 0.206 0.000 0.000
Se1 0.000 0.142 0.643


Entry 2:
# Pm7PbSe5 | the Alexandria database | PBE | optimized geometry
# * ρ: 7.37 g/cm3
# * E: -5.71 eV/atom
# * total moment: 0.00 μB/cell
# * energy relative to the elements, uncorrected: -147.3 kJ per mole of atoms
# * V: 28.02 A^3/atom
data_Pm7PbSe5
_chemical_formula_sum 'Pm28 Pb4 Se20'
_symmetry_space_group_name_H-M 'C 1 2/m 1'
_symmetry_Int_Tables_number 12
_symmetry_space_group_name_Hall '-C 2y'
_cell_length_a 13.673
_cell_length_b 4.273
_cell_length_c 24.938
_cell_angle_alpha 90.00
_cell_angle_beta 90.01
_cell_angle_gamma 90.00
loop_
_atom_site_label
_atom_site_fract_x
_atom_site_fract_y
_atom_site_fract_z
Pm1 0.026 0.000 0.250
Pm2 0.094 0.500 0.113
Pm3 0.094 0.500 0.387
Pm4 0.137 0.000 0.537
Pm5 0.137 0.000 0.964
Pm6 0.181 0.500 0.676
Pm7 0.181 0.500 0.824
Pb1 0.197 0.500 0.250
Se1 0.000 0.500 0.000
Se2 0.000 0.500 0.500
Se3 0.046 0.000 0.641
Se4 0.046 0.000 0.859
Se5 0.226 0.000 0.071
Se6 0.226 0.000 0.429


Entry 3:
# Pm2PbSe | the Alexandria database | PBE | optimized geometry
# * ρ: 8.58 g/cm3
# * E: -5.03 eV/atom
# * total moment: 0.00 μB/cell
# * energy relative to the elements, uncorrected: -82.3 kJ per mole of atoms
# * relative energy among the computed polymorphs: 1.29 eV/f.u.
# * V: 27.86 A^3/atom
data_Pm2PbSe
_chemical_formula_sum 'Pm8 Pb4 Se4'
_symmetry_space_group_name_H-M 'F m -3 m'
_symmetry_Int_Tables_number 225
_symmetry_space_group_name_Hall '-F 4 2 3'
_cell_length_a 7.639
_cell_length_b 7.639
_cell_length_c 7.639
_cell_angle_alpha 90.00
_cell_angle_beta 90.00
_cell_angle_gamma 90.00
loop_
_atom_site_label
_atom_site_fract_x
_atom_site_fract_y
_atom_site_fract_z
Pm1 0.250 0.250 0.250
Pb1 0.000 0.000 0.000
Se1 0.000 0.000 0.500


Entry 4:
# Pm4PbSe2 | the Alexandria database | PBE | optimized geometry
# * ρ: 7.37 g/cm3
# * E: -5.39 eV/atom
# * total moment: 0.00 μB/cell
# * energy relative to the elements, uncorrected: -110.7 kJ per mole of atoms
# * relative energy among the computed polymorphs: 0.60 eV/f.u.
# * V: 30.44 A^3/atom
data_Pm4PbSe2
_chemical_formula_sum 'Pm32 Pb8 Se16'
_symmetry_space_group_name_H-M 'F d d d'
_symmetry_Int_Tables_number 70
_cell_length_a 9.318
_cell_length_b 13.516
_cell_length_c 13.535
_cell_angle_alpha 90.00
_cell_angle_beta 90.00
_cell_angle_gamma 90.00
loop_
_symmetry_equiv_pos_as_xyz
'x,y,z'
'-x,-y,-z'
'-x+1/4,-y+1/4,z'
'x+1/4,y+1/4,-z'
'x,-y+1/4,-z+1/4'
'-x,y+1/4,z+1/4'
'-x+1/4,y,-z+1/4'
'x+1/4,-y,z+1/4'
'x,y+1/2,z+1/2'
'-x,-y+1/2,-z+1/2'
'-x+1/4,-y+3/4,z+1/2'
'x+1/4,y+3/4,-z+1/2'
'x,-y+3/4,-z+3/4'
'-x,y+3/4,z+3/4'
'-x+1/4,y+1/2,-z+3/4'
'x+1/4,-y+1/2,z+3/4'
'x+1/2,y,z+1/2'
'-x+1/2,-y,-z+1/2'
'-x+3/4,-y+1/4,z+1/2'
'x+3/4,y+1/4,-z+1/2'
'x+1/2,-y+1/4,-z+3/4'
'-x+1/2,y+1/4,z+3/4'
'-x+3/4,y,-z+3/4'
'x+3/4,-y,z+3/4'
'x+1/2,y+1/2,z'
'-x+1/2,-y+1/2,-z'
'-x+3/4,-y+3/4,z'
'x+3/4,y+3/4,-z'
'x+1/2,-y+3/4,-z+1/4'
'-x+1/2,y+3/4,z+1/4'
'-x+3/4,y+1/2,-z+1/4'
'x+3/4,-y+1/2,z+1/4'
loop_
_atom_site_label
_atom_site_fract_x
_atom_site_fract_y
_atom_site_fract_z
Pm1 0.053 0.284 0.466
Pb1 0.125 0.125 0.625
Se1 0.000 0.000 0.000


Entry 5:
# Pm2PbSe | the Alexandria database | PBE | optimized geometry
# * ρ: 8.13 g/cm3
# * E: -5.29 eV/atom
# * total moment: 0.00 μB/cell
# * energy relative to the elements, uncorrected: -107.9 kJ per mole of atoms
# * relative energy among the computed polymorphs: 0.23 eV/f.u.
# * V: 29.40 A^3/atom
data_Pm2PbSe
_chemical_formula_sum 'Pm6 Pb3 Se3'
_symmetry_space_group_name_H-M 'R 3 m'
_symmetry_Int_Tables_number 160
_symmetry_space_group_name_Hall 'R 3 -2"'
_cell_length_a 4.0142
_cell_length_b 4.0142
_cell_length_c 25.2849
_cell_angle_alpha 90.00
_cell_angle_beta 90.00
_cell_angle_gamma 120.00
loop_
_atom_site_label
_atom_site_fract_x
_atom_site_fract_y
_atom_site_fract_z
Pm1 0.0000 0.0000 0.0000
Pm2 0.0000 0.0000 0.1928
Pb1 0.0000 0.0000 0.4291
Se1 0.0000 0.0000 0.5971


Entry 6:
# Pm4Pb2Se | the Alexandria database | PBE | optimized geometry
# * ρ: 8.08 g/cm3
# * E: -4.98 eV/atom
# * total moment: 0.00 μB/cell
# * energy relative to the elements, uncorrected: -68.7 kJ per mole of atoms
# * relative energy among the computed polymorphs: 0.00 eV/f.u.
# * V: 31.53 A^3/atom
data_Pm4Pb2Se
_chemical_formula_sum 'Pm8 Pb4 Se2'
_symmetry_space_group_name_H-M 'P 1 21/m 1'
_symmetry_Int_Tables_number 11
_symmetry_space_group_name_Hall '-P 2yb'
_cell_length_a 6.961
_cell_length_b 6.783
_cell_length_c 9.948
_cell_angle_alpha 90.00
_cell_angle_beta 109.99
_cell_angle_gamma 90.00
loop_
_atom_site_label
_atom_site_fract_x
_atom_site_fract_y
_atom_site_fract_z
Pm1 0.007 0.002 0.254
Pm2 0.423 0.250 0.574
Pm3 0.436 0.250 0.138
Pb1 0.182 0.750 0.043
Pb2 0.203 0.750 0.550
Se1 0.350 0.250 0.839


Entry 7:
# Pm3PbSe6 | the Alexandria database | PBE | optimized geometry
# * ρ: 6.27 g/cm3
# * E: -5.34 eV/atom
# * total moment: 0.00 μB/cell
# * energy relative to the elements, uncorrected: -140.3 kJ per mole of atoms
# * V: 29.55 A^3/atom
data_Pm3PbSe6
_chemical_formula_sum 'Pm12 Pb4 Se24'
_symmetry_space_group_name_H-M 'C m c 21'
_symmetry_Int_Tables_number 36
_symmetry_space_group_name_Hall 'C 2c -2'
_cell_length_a 11.417
_cell_length_b 14.376
_cell_length_c 7.200
_cell_angle_alpha 90.00
_cell_angle_beta 90.00
_cell_angle_gamma 90.00
loop_
_atom_site_label
_atom_site_fract_x
_atom_site_fract_y
_atom_site_fract_z
Pm1 0.000 0.093 0.000
Pm2 0.186 0.403 0.094
Pb1 0.000 0.302 0.621
Se1 0.000 0.276 0.221
Se2 0.000 0.478 0.814
Se3 0.162 0.033 0.295
Se4 0.180 0.227 0.840


Entry 8:
# PmPbSe3 | the Alexandria database | PBE | optimized geometry
# * ρ: 5.62 g/cm3
# * E: -4.88 eV/atom
# * total moment: 0.00 μB/cell
# * energy relative to the elements, uncorrected: -105.7 kJ per mole of atoms
# * V: 34.81 A^3/atom
data_PmPbSe3
_chemical_formula_sum 'Pm4 Pb4 Se12'
_symmetry_space_group_name_H-M 'C 1 2/m 1'
_symmetry_Int_Tables_number 12
_symmetry_space_group_name_Hall '-C 2y'
_cell_length_a 18.380
_cell_length_b 4.443
_cell_length_c 9.908
_cell_angle_alpha 90.00
_cell_angle_beta 120.63
_cell_angle_gamma 90.00
loop_
_atom_site_label
_atom_site_fract_x
_atom_site_fract_y
_atom_site_fract_z
Pm1 0.155 0.000 0.311
Pb1 0.137 0.500 0.828
Se1 0.032 0.500 0.143
Se2 0.161 0.500 0.512
Se3 0.178 0.000 0.040


Entry 9:
# Pm4Pb2Se | the Alexandria database | PBE | optimized geometry
# * ρ: 7.41 g/cm3
# * E: -4.90 eV/atom
# * total moment: 0.00 μB/cell
# * energy relative to the elements, uncorrected: -60.5 kJ per mole of atoms
# * relative energy among the computed polymorphs: 0.59 eV/f.u.
# * V: 34.35 A^3/atom
data_Pm4Pb2Se
_chemical_formula_sum 'Pm8 Pb4 Se2'
_symmetry_space_group_name_H-M 'I 4/m m m'
_symmetry_Int_Tables_number 139
_symmetry_space_group_name_Hall '-I 4 2'
_cell_length_a 5.378
_cell_length_b 5.378
_cell_length_c 16.625
_cell_angle_alpha 90.00
_cell_angle_beta 90.00
_cell_angle_gamma 90.00
loop_
_atom_site_label
_atom_site_fract_x
_atom_site_fract_y
_atom_site_fract_z
Pm1 0.000 0.000 0.173
Pm2 0.000 0.500 0.000
Pb1 0.000 0.000 0.366
Se1 0.000 0.000 0.000


Entry 10:
# Pm4PbSe2 | the Alexandria database | PBE | optimized geometry
# * ρ: 7.53 g/cm3
# * E: -5.47 eV/atom
# * total moment: 0.12 μB/cell
# * energy relative to the elements, uncorrected: -118.9 kJ per mole of atoms
# * relative energy among the computed polymorphs: 0.00 eV/f.u.
# * V: 29.77 A^3/atom
data_Pm4PbSe2
_chemical_formula_sum 'Pm16 Pb4 Se8'
_symmetry_space_group_name_H-M 'C m c m'
_symmetry_Int_Tables_number 63
_symmetry_space_group_name_Hall '-C 2c 2'
_cell_length_a 4.330
_cell_length_b 13.590
_cell_length_c 14.166
_cell_angle_alpha 90.00
_cell_angle_beta 90.00
_cell_angle_gamma 90.00
loop_
_atom_site_label
_atom_site_fract_x
_atom_site_fract_y
_atom_site_fract_z
Pm1 0.000 0.000 0.000
Pm2 0.000 0.269 0.121
Pm3 0.000 0.440 0.750
Pb1 0.000 0.109 0.750
Se1 0.000 0.365 0.560


Entry 11:
# PmPb2Se4 | the Alexandria database | PBE | optimized geometry
# * ρ: 7.07 g/cm3
# * E: -4.62 eV/atom
# * total moment: 0.00 μB/cell
# * energy relative to the elements, uncorrected: -85.9 kJ per mole of atoms
# * V: 29.35 A^3/atom
data_PmPb2Se4
_chemical_formula_sum 'Pm4 Pb8 Se16'
_symmetry_space_group_name_H-M 'C m c m'
_symmetry_Int_Tables_number 63
_symmetry_space_group_name_Hall '-C 2c 2'
_cell_length_a 4.191
_cell_length_b 14.232
_cell_length_c 13.777
_cell_angle_alpha 90.00
_cell_angle_beta 90.00
_cell_angle_gamma 90.00
loop_
_atom_site_label
_atom_site_fract_x
_atom_site_fract_y
_atom_site_fract_z
Pm1 0.000 0.103 0.250
Pb1 0.000 0.365 0.062
Se1 0.000 0.000 0.000
Se2 0.000 0.287 0.638
Se3 0.000 0.458 0.250


Entry 12:
# Pm5Pb2Se4 | the Alexandria database | PBE | optimized geometry
# * ρ: 6.52 g/cm3
# * E: -5.30 eV/atom
# * total moment: 0.00 μB/cell
# * energy relative to the elements, uncorrected: -115.8 kJ per mole of atoms
# * V: 33.71 A^3/atom
data_Pm5Pb2Se4
_chemical_formula_sum 'Pm15 Pb6 Se12'
_symmetry_space_group_name_H-M 'R -3 m'
_symmetry_Int_Tables_number 166
_symmetry_space_group_name_Hall '-R 3 2"'
_cell_length_a 4.6363
_cell_length_b 4.6363
_cell_length_c 59.7538
_cell_angle_alpha 90.00
_cell_angle_beta 90.00
_cell_angle_gamma 120.00
loop_
_atom_site_label
_atom_site_fract_x
_atom_site_fract_y
_atom_site_fract_z
Pm1 0.0000 0.0000 0.0000
Pm2 0.0000 0.0000 0.1323
Pm3 0.0000 0.0000 0.2716
Pb1 0.0000 0.0000 0.3635
Se1 0.0000 0.0000 0.0857
Se2 0.0000 0.0000 0.1874